1.
# Cs2RbTlBr6, optimized geometry, DFT PBE
# Fermi-level density of states in states/eV per atom: 0.000
# Total energy in eV/atom: -2.767
data_Cs2RbTlBr6
_chemical_formula_sum 'Cs8 Rb4 Tl4 Br24'
_cell_length_a 12.0909
_cell_length_b 12.0909
_cell_length_c 12.0909
_cell_angle_alpha 90.00
_cell_angle_beta 90.00
_cell_angle_gamma 90.00
_space_group_name_H-M_alt 'F m -3 m'
_space_group_IT_number 225
_space_group_name_Hall '-F 4 2 3'
loop_
_atom_site_label
_atom_site_type_symbol
_atom_site_fract_x
_atom_site_fract_y
_atom_site_fract_z
_atom_site_occupancy
Cs1 Cs 0.2500 0.2500 0.2500 1
Rb1 Rb 0.0000 0.0000 0.0000 1
Tl1 Tl 0.0000 0.0000 0.5000 1
Br1 Br 0.0000 0.0000 0.2698 1

***

2.
# Cs2RbTlBr, optimized geometry, DFT PBE
# Fermi-level density of states in states/eV per atom: 0.952
# Total energy in eV/atom: -1.923
data_Cs2RbTlBr
_chemical_formula_sum 'Cs2 Rb1 Tl1 Br1'
_cell_length_a 7.0053
_cell_length_b 7.0053
_cell_length_c 6.6672
_cell_angle_alpha 90.00
_cell_angle_beta 90.00
_cell_angle_gamma 90.00
_space_group_name_H-M_alt 'P 4/m m m'
_space_group_IT_number 123
_space_group_name_Hall '-P 4 2'
loop_
_atom_site_label
_atom_site_type_symbol
_atom_site_fract_x
_atom_site_fract_y
_atom_site_fract_z
_atom_site_occupancy
Cs1 Cs 0.0000 0.5000 0.0000 1
Rb1 Rb 0.0000 0.0000 0.5000 1
Tl1 Tl 0.5000 0.5000 0.5000 1
Br1 Br 0.0000 0.0000 0.0000 1

***

3.
# Cs3RbTl2Br6, optimized geometry, DFT PBE
# Fermi-level density of states in states/eV per atom: 0.000
# Total energy in eV/atom: -2.992
data_Cs3RbTl2Br6
_chemical_formula_sum 'Cs6 Rb2 Tl4 Br12'
_cell_length_a 8.7047
_cell_length_b 15.0771
_cell_length_c 8.6900
_cell_angle_alpha 90.00
_cell_angle_beta 109.48
_cell_angle_gamma 90.00
_space_group_name_H-M_alt 'C 1 2/m 1'
_space_group_IT_number 12
loop_
_space_group_symop_operation_xyz
'x,y,z'
'-x,-y,-z'
'-x,y,-z'
'x,-y,z'
'x+1/2,y+1/2,z'
'-x+1/2,-y+1/2,-z'
'-x+1/2,y+1/2,-z'
'x+1/2,-y+1/2,z'
loop_
_atom_site_label
_atom_site_type_symbol
_atom_site_fract_x
_atom_site_fract_y
_atom_site_fract_z
_atom_site_occupancy
Cs1 Cs 0.0000 0.0000 0.0000 1
Cs2 Cs 0.0000 0.3333 0.0000 1
Rb1 Rb 0.0000 0.5000 0.5000 1
Tl1 Tl 0.0000 0.1666 0.5000 1
Br1 Br 0.2390 0.0000 0.7310 1
Br2 Br 0.2458 0.3309 0.7300 1